The following is a DFT calculation (GGA-PBE) of a relaxed CuTcSbI2 crystal.

Structure (POSCAR):
```
CuTcSbI2
1.0
5.558 0.000 0.000
0.000 5.558 0.000
0.000 0.000 5.077
Cu Tc Sb I
1 1 1 2
Direct
0.000 0.000 0.000
0.500 0.500 0.500
0.500 0.500 0.000
0.000 0.500 0.500
0.500 0.000 0.500
```

Uncorrected formation energy in eV per atom: 0.84
Mass density in g/cm3: 5.687
Calculated total energy in eV/cell: -17.48
Offset from the most stable computed form in meV/atom: 0
Symmetry: No. 123